1.
DFT (GGA-PBE) results for a geometry-optimized BeAlTe2 structure.

Lattice parameters (Å, degrees): 6.8787 3.9514 6.9171 90.00 109.71 90.00
With the nearest neighbours (Å) after each atom.
Space group C2/m (No. 12)
Inequivalent atoms, fractional coordinates:
Be 0.0000 0.0000 0.0000  6 Te 2.72-2.75
Al 0.0000 0.5000 0.5000  6 Te 2.89-2.90
Te 0.2417 0.5000 0.2287  3 Be 2.72-2.75, 3 Al 2.89-2.90

Values from the calculation:
Spin magnetization = 0.0 μB/cell
Offset from the most stable computed form = 40 meV per atom
Energy relative to the elements, uncorrected = -0.050 eV per atom
E_tot = -3.49 eV/atom

***

2.
DFT (GGA-PBE) results for a geometry-optimized Li5Au3Cl12 structure.

Lattice parameters (Å, degrees): 15.6832 15.6832 15.6832 90.00 90.00 90.00
With the nearest neighbours (Å) after each atom.
Space group Ia-3d (No. 230)
Inequivalent atoms, fractional coordinates:
Li 0.0000 0.0000 0.0000  6 Cl 2.58
Li 0.0000 0.2500 0.3750  4 Cl 2.43
Au 0.0000 0.2500 0.1250  4 Cl 2.52
Cl 0.0034 0.0361 0.6605  2 Li 2.43-2.58, 1 Au 2.52

Values from the calculation:
Spin magnetization = 16.9 μB/cell
Energy relative to the elements, uncorrected = -0.811 eV per atom
E_tot = -2.89 eV/atom

***

3.
DFT (GGA-PBE) results for a geometry-optimized La2Pr6Dy3Tl structure.

Lattice parameters (Å, degrees): 6.2677 10.8710 12.0683 90.00 100.02 90.00
With the nearest neighbours (Å) after each atom.
Space group C2/m (No. 12)
Inequivalent atoms, fractional coordinates:
La 0.0000 0.1664 0.0000  3 La 3.62, 3 Tl 3.62-3.63, 6 Pr 3.68
Pr 0.2411 0.5000 0.7465  6 Pr 3.53-3.67, 3 Dy 3.59-3.63, 1 Tl 3.64, 2 La 3.68
Pr 0.2465 0.3373 0.2528  6 Pr 3.53-3.67, 3 Dy 3.59-3.63, 1 Tl 3.63, 2 La 3.68
Dy 0.0000 0.0000 0.5000  6 Pr 3.59-3.63, 6 Dy 3.62
Dy 0.0000 0.3328 0.5000  6 Pr 3.59-3.63, 6 Dy 3.61-3.64
Tl 0.0000 0.5000 0.0000  6 La 3.62-3.63, 6 Pr 3.63-3.64

Values from the calculation:
Spin magnetization = 0.0 μB/cell
E_tot = -4.60 eV/atom
Formation enthalpy at 0 K = -0.0381 eV/atom